[1]
DFT (PBE-GGA) results for a relaxed structure of Al2CuNi.

It has space group P4/mmm (No. 123), with a = 4.097 Å, b = 4.097 Å, c = 3.008 Å, α = 90.00°, β = 90.00° and γ = 90.00°. The inequivalent atoms are Al at (0.000, 0.500, 0.000), Cu at (0.000, 0.000, 0.500) and Ni at (0.500, 0.500, 0.500).

Its density of states at the Fermi level is 0.15 states/eV per atom. As for the energy of formation from the pure elements: -0.435 eV per atom.

[2]
DFT (PBE-GGA) results for a relaxed structure of AlCuNi6.

It has space group P4/mmm (No. 123), with a = 3.330 Å, b = 3.330 Å, c = 9.277 Å, α = 90.00°, β = 90.00° and γ = 90.00°. The inequivalent atoms are Al at (0.000, 0.000, 0.000), Cu at (0.000, 0.000, 0.500), Ni at (0.000, 0.500, 0.197) and Ni at (0.500, 0.500, 0.379).

Its density of states at the Fermi level is 1.53 states/eV per atom. As for the energy of formation from the pure elements: 0.228 eV per atom. The value obtained for the offset from the most stable computed form is 416.8 meV/atom.

[3]
DFT (PBE-GGA) results for a relaxed structure of AlCuNi2.

It has space group P3m1 (No. 156), with a = 2.6151 Å, b = 2.6151 Å, c = 8.3187 Å, α = 90.00°, β = 90.00° and γ = 120.00°. The inequivalent atoms are Al at (0.0000, 0.0000, 0.0000), Cu at (0.6667, 0.3333, 0.5206), Ni at (0.3333, 0.6667, 0.7673) and Ni at (0.6667, 0.3333, 0.2300).

Its density of states at the Fermi level is 0.83 states/eV per atom. As for the energy of formation from the pure elements: -0.077 eV per atom.

[4]
DFT (PBE-GGA) results for a relaxed structure of Al2CuNi4.

It has space group P-3m1 (No. 164), with a = 2.6286 Å, b = 2.6286 Å, c = 14.5167 Å, α = 90.00°, β = 90.00° and γ = 120.00°. The inequivalent atoms are Al at (0.3333, 0.6667, 0.2004), Cu at (0.0000, 0.0000, 0.5000), Ni at (0.3333, 0.6667, 0.3607) and Ni at (0.3333, 0.6667, 0.9305).

Its density of states at the Fermi level is 1.02 states/eV per atom. As for the energy of formation from the pure elements: -0.024 eV per atom. The value obtained for the offset from the most stable computed form is 363.8 meV/atom.

[5]
DFT (PBE-GGA) results for a relaxed structure of Al2CuNi.

It has space group Pnma (No. 62), with a = 4.547 Å, b = 4.417 Å, c = 10.417 Å, α = 90.00°, β = 90.00° and γ = 90.00°. The inequivalent atoms are Al at (0.050, 0.250, 0.086), Al at (0.063, 0.250, 0.572), Cu at (0.076, 0.250, 0.814) and Ni at (0.050, 0.250, 0.327).

Its density of states at the Fermi level is 0.42 states/eV per atom. As for the energy of formation from the pure elements: -0.343 eV per atom.

[6]
DFT (PBE-GGA) results for a relaxed structure of AlCuNi2.

It has space group Pmma (No. 51), with a = 4.937 Å, b = 3.990 Å, c = 4.945 Å, α = 90.00°, β = 90.00° and γ = 90.00°. The inequivalent atoms are Al at (0.250, 0.000, 0.211), Cu at (0.250, 0.000, 0.732), Ni at (0.000, 0.500, 0.000) and Ni at (0.250, 0.500, 0.473).

Its density of states at the Fermi level is 0.81 states/eV per atom. As for the energy of formation from the pure elements: -0.146 eV per atom.

[7]
DFT (PBE-GGA) results for a relaxed structure of Al3Cu2Ni.

It has space group P-3m1 (No. 164), with a = 5.3427 Å, b = 5.3427 Å, c = 6.4101 Å, α = 90.00°, β = 90.00° and γ = 120.00°. The inequivalent atoms are Al at (0.1680, 0.3360, 0.1790), Cu at (0.0000, 0.0000, 0.5000), Cu at (0.0000, 0.5000, 0.5000) and Ni at (0.3333, 0.6667, 0.8573).

Its density of states at the Fermi level is 0.30 states/eV per atom. As for the energy of formation from the pure elements: -0.222 eV per atom. The value obtained for the offset from the most stable computed form is 123.3 meV/atom.

[8]
DFT (PBE-GGA) results for a relaxed structure of Al2Cu2Ni.

It has space group I4/mmm (No. 139), with a = 3.236 Å, b = 3.236 Å, c = 13.370 Å, α = 90.00°, β = 90.00° and γ = 90.00°. The inequivalent atoms are Al at (0.000, 0.000, 0.098), Cu at (0.000, 0.500, 0.250) and Ni at (0.000, 0.000, 0.500).

Its density of states at the Fermi level is 0.35 states/eV per atom. As for the energy of formation from the pure elements: -0.066 eV per atom. The value obtained for the offset from the most stable computed form is 261.1 meV/atom.

[9]
DFT (PBE-GGA) results for a relaxed structure of AlCuNi2.

It has space group P6_3/mmc (No. 194), with a = 4.0283 Å, b = 4.0283 Å, c = 7.1684 Å, α = 90.00°, β = 90.00° and γ = 120.00°. The inequivalent atoms are Al at (0.3333, 0.6667, 0.2500), Cu at (0.0000, 0.0000, 0.2500) and Ni at (0.3333, 0.6667, 0.5807).

Its density of states at the Fermi level is 0.37 states/eV per atom. As for the energy of formation from the pure elements: -0.114 eV per atom.

[10]
DFT (PBE-GGA) results for a relaxed structure of Al5Cu4Ni.

It has space group P4/mmm (No. 123), with a = 3.017 Å, b = 3.017 Å, c = 14.358 Å, α = 90.00°, β = 90.00° and γ = 90.00°. The inequivalent atoms are Al at (0.000, 0.000, 0.000), Al at (0.000, 0.000, 0.202), Al at (0.000, 0.000, 0.405), Cu at (0.500, 0.500, 0.100), Cu at (0.500, 0.500, 0.302) and Ni at (0.500, 0.500, 0.500).

Its density of states at the Fermi level is 0.24 states/eV per atom. As for the energy of formation from the pure elements: -0.266 eV per atom.

[11]
DFT (PBE-GGA) results for a relaxed structure of Al2CuNi.

It has space group R3m (No. 160, hexagonal axes), with a = 3.9954 Å, b = 3.9954 Å, c = 12.4505 Å, α = 90.00°, β = 90.00° and γ = 120.00°. The inequivalent atoms are Al at (0.0000, 0.0000, 0.0000), Al at (0.0000, 0.0000, 0.2137), Cu at (0.0000, 0.0000, 0.4278) and Ni at (0.0000, 0.0000, 0.6300).

Its density of states at the Fermi level is 0.56 states/eV per atom. As for the energy of formation from the pure elements: -0.216 eV per atom.

[12]
DFT (PBE-GGA) results for a relaxed structure of Al4CuNi.

It has space group Pmma (No. 51), with a = 8.332 Å, b = 2.960 Å, c = 7.057 Å, α = 90.00°, β = 90.00° and γ = 90.00°. The inequivalent atoms are Al at (0.000, 0.000, 0.000), Al at (0.053, 0.500, 0.324), Al at (0.250, 0.500, 0.855), Cu at (0.250, 0.000, 0.537) and Ni at (0.250, 0.000, 0.163).

Its density of states at the Fermi level is 0.31 states/eV per atom. As for the energy of formation from the pure elements: -0.215 eV per atom. The value obtained for the offset from the most stable computed form is 0.0 meV/atom.

[13]
DFT (PBE-GGA) results for a relaxed structure of AlCuNi6.

It has space group Cmmm (No. 65), with a = 7.081 Å, b = 10.065 Å, c = 10.061 Å, α = 90.00°, β = 90.00° and γ = 90.00°. The inequivalent atoms are Al at (0.000, 0.000, 0.250), Al at (0.000, 0.248, 0.000), Cu at (0.000, 0.249, 0.500), Cu at (0.000, 0.500, 0.251), Ni at (0.000, 0.000, 0.000), Ni at (0.000, 0.000, 0.500), Ni at (0.000, 0.249, 0.251), Ni at (0.000, 0.500, 0.000), Ni at (0.000, 0.500, 0.500), Ni at (0.249, 0.375, 0.125) and Ni at (0.249, 0.375, 0.375).

Its density of states at the Fermi level is 1.11 states/eV per atom. As for the energy of formation from the pure elements: -0.189 eV per atom. The value obtained for the offset from the most stable computed form is 0.0 meV/atom.

[14]
DFT (PBE-GGA) results for a relaxed structure of AlCu3Ni3.

It has space group P6_3/m (No. 176), with a = 6.7047 Å, b = 6.7047 Å, c = 4.1797 Å, α = 90.00°, β = 90.00° and γ = 120.00°. The inequivalent atoms are Al at (0.3333, 0.6667, 0.2500), Cu at (0.0939, 0.4698, 0.7500) and Ni at (0.0480, 0.2359, 0.2500).

Its density of states at the Fermi level is 0.77 states/eV per atom. As for the energy of formation from the pure elements: -0.140 eV per atom. The value obtained for the offset from the most stable computed form is 57.7 meV/atom.

[15]
DFT (PBE-GGA) results for a relaxed structure of Al2CuNi.

It has space group R-3m (No. 166, hexagonal axes), with a = 2.7514 Å, b = 2.7514 Å, c = 24.0622 Å, α = 90.00°, β = 90.00° and γ = 120.00°. The inequivalent atoms are Al at (0.0000, 0.0000, 0.2460), Cu at (0.0000, 0.0000, 0.0000) and Ni at (0.0000, 0.0000, 0.5000).

Its density of states at the Fermi level is 0.35 states/eV per atom. As for the energy of formation from the pure elements: -0.250 eV per atom.

[16]
DFT (PBE-GGA) results for a relaxed structure of Al7Cu6Ni16.

It has space group Fm-3m (No. 225), with a = 11.318 Å, b = 11.318 Å, c = 11.318 Å, α = 90.00°, β = 90.00° and γ = 90.00°. The inequivalent atoms are Al at (0.000, 0.000, 0.000), Al at (0.000, 0.250, 0.250), Cu at (0.000, 0.000, 0.283), Ni at (0.119, 0.119, 0.119) and Ni at (0.168, 0.168, 0.332).

Its density of states at the Fermi level is 0.56 states/eV per atom. As for the energy of formation from the pure elements: -0.202 eV per atom.

[17]
DFT (PBE-GGA) results for a relaxed structure of Al6Cu3Ni.

It has space group Pnnm (No. 58), with a = 7.142 Å, b = 9.931 Å, c = 4.087 Å, α = 90.00°, β = 90.00° and γ = 90.00°. The inequivalent atoms are Al at (0.008, 0.248, 0.000), Al at (0.156, 0.076, 0.500), Al at (0.188, 0.388, 0.500), Cu at (0.000, 0.500, 0.000), Cu at (0.162, 0.643, 0.500) and Ni at (0.000, 0.000, 0.000).

Its density of states at the Fermi level is 0.30 states/eV per atom. As for the energy of formation from the pure elements: -0.237 eV per atom.

[18]
DFT (PBE-GGA) results for a relaxed structure of Al2CuNi.

It has space group P3m1 (No. 156), with a = 2.7449 Å, b = 2.7449 Å, c = 8.3827 Å, α = 90.00°, β = 90.00° and γ = 120.00°. The inequivalent atoms are Al at (0.0000, 0.0000, 0.0000), Al at (0.3333, 0.6667, 0.4555), Cu at (0.3333, 0.6667, 0.7541) and Ni at (0.6667, 0.3333, 0.2297).

Its density of states at the Fermi level is 0.56 states/eV per atom. As for the energy of formation from the pure elements: -0.164 eV per atom.

[19]
DFT (PBE-GGA) results for a relaxed structure of Al2Cu2Ni.

It has space group P4/nmm (No. 129, origin choice 2), with a = 3.493 Å, b = 3.493 Å, c = 11.745 Å, α = 90.00°, β = 90.00° and γ = 90.00°. The inequivalent atoms are Al at (0.250, 0.250, 0.160), Al at (0.250, 0.750, 0.500), Cu at (0.250, 0.250, 0.356), Cu at (0.250, 0.750, 0.000) and Ni at (0.250, 0.250, 0.713).

Its density of states at the Fermi level is 0.34 states/eV per atom. As for the energy of formation from the pure elements: 0.098 eV per atom. The value obtained for the offset from the most stable computed form is 425.0 meV/atom.

[20]
DFT (PBE-GGA) results for a relaxed structure of AlCu2Ni5.

It has space group I4/mmm (No. 139), with a = 3.606 Å, b = 3.606 Å, c = 13.941 Å, α = 90.00°, β = 90.00° and γ = 90.00°. The inequivalent atoms are Al at (0.000, 0.000, 0.000), Cu at (0.000, 0.000, 0.250), Ni at (0.000, 0.000, 0.500) and Ni at (0.000, 0.500, 0.124).

Its density of states at the Fermi level is 0.97 states/eV per atom. As for the energy of formation from the pure elements: -0.197 eV per atom. The value obtained for the offset from the most stable computed form is 0.0 meV/atom.

[21]
DFT (PBE-GGA) results for a relaxed structure of Al2Cu4Ni.

It has space group P-3m1 (No. 164), with a = 2.6421 Å, b = 2.6421 Å, c = 15.2942 Å, α = 90.00°, β = 90.00° and γ = 120.00°. The inequivalent atoms are Al at (0.3333, 0.6667, 0.2058), Cu at (0.3333, 0.6667, 0.3692), Cu at (0.3333, 0.6667, 0.9322) and Ni at (0.0000, 0.0000, 0.5000).

Its density of states at the Fermi level is 0.65 states/eV per atom. As for the energy of formation from the pure elements: 0.083 eV per atom. The value obtained for the offset from the most stable computed form is 209.7 meV/atom.

[22]
DFT (PBE-GGA) results for a relaxed structure of AlCuNi6.

It has space group C2/m (No. 12), with a = 7.124 Å, b = 4.740 Å, c = 6.318 Å, α = 90.00°, β = 107.32° and γ = 90.00°. The inequivalent atoms are Al at (0.000, 0.000, 0.000), Cu at (0.000, 0.500, 0.500), Ni at (0.134, 0.000, 0.427) and Ni at (0.203, 0.240, 0.801).

Its density of states at the Fermi level is 1.63 states/eV per atom. As for the energy of formation from the pure elements: 0.129 eV per atom. The value obtained for the offset from the most stable computed form is 317.6 meV/atom.